Entry 1:
Here is crystalline PmP3Pd3 at its relaxed geometry from Alexandria. Energies are from PBE.

Cell lengths 6.5447, 6.5447, 6.5447 Å; angles 90.00, 90.00, 90.00 degrees
Closest atoms and distances in Å follow each position.
Space group Pm-3n (No. 223)
Symmetry-distinct sites (fractional):
Pm 0.0000 0.0000 0.0000  12 Pd 3.66, 12 P 3.66
P 0.0000 0.2500 0.5000  4 Pd 2.31
Pd 0.0000 0.5000 0.2500  4 P 2.31

Results
- total moment (μB/cell) = 0.00
- crystal system = cubic
- formation energy (eV per formula unit) = -3.264

***

Entry 2:
Here is crystalline La2AsP3Rh4 at its relaxed geometry from Alexandria. Energies are from PBE.

Cell lengths 4.2320, 4.2320, 9.7934 Å; angles 90.00, 90.00, 90.00 degrees
Closest atoms and distances in Å follow each position.
Space group P-4m2 (No. 115)
Symmetry-distinct sites (fractional):
La 0.0000 0.5000 0.2474  6 P 3.21-3.22, 2 As 3.22, 8 Rh 3.23-3.26
As 0.5000 0.5000 0.0000  4 Rh 2.43
P 0.0000 0.0000 0.0000  4 Rh 2.43
P 0.0000 0.5000 0.6348  5 Rh 2.38-2.49
Rh 0.0000 0.0000 0.5000  4 P 2.49
Rh 0.0000 0.5000 0.8774  3 P 2.38-2.43, 2 As 2.43
Rh 0.5000 0.5000 0.5000  4 P 2.49

Results
- total moment (μB/cell) = 0.00
- crystal system = tetragonal
- formation energy (eV per formula unit) = -10.745